## MnTcCl6 (PBE-GGA)

Data for MnTcCl6 after structural relaxation.

Summary:
For the calculated volume, the calculation gives 31.2 A^3/atom. The total energy comes out at -4.638 eV/atom. As for the uncorrected formation energy: -811 meV/atom.

a b c (Å): 6.778 6.778 6.245
angles (deg): 91.16 91.16 119.60
Site moments in Bohr magnetons follow the coordinates.
Atoms (fractional coordinates):
Mn1 0.000 0.000 0.500  4.38
Tc1 0.000 0.000 0.000  2.28
Cl1 0.281 0.000 0.236  0.09
Cl2 0.000 0.281 0.236  0.09
Cl3 0.000 0.719 0.764  0.09
Cl4 0.719 0.000 0.764  0.09
Cl5 0.278 0.278 0.780  0.08
Cl6 0.722 0.722 0.220  0.08